Density functional theory data (PBE) for a geometry-optimized Ce5Ge2Bi structure. Values from VASP.

```
&SYSTEM
  ibrav = 0, nat = 16, ntyp = 3
/
ATOMIC_SPECIES
Ce 140.12 Ce.upf
Ge 72.64 Ge.upf
Bi 208.98 Bi.upf
CELL_PARAMETERS angstrom
5.676 0.000 0.000
-2.838 4.509 0.000
0.000 0.000 17.748
ATOMIC_POSITIONS crystal
Ce 0.898 0.797 0.909
Ce 0.898 0.797 0.591
Ce 0.402 0.805 0.426
Ce 0.402 0.805 0.074
Ce 0.719 0.438 0.250
Ce 0.281 0.562 0.750
Ce 0.598 0.195 0.574
Ce 0.598 0.195 0.926
Ce 0.102 0.203 0.091
Ce 0.102 0.203 0.409
Ge 0.756 0.513 0.423
Ge 0.756 0.513 0.077
Ge 0.244 0.487 0.577
Ge 0.244 0.487 0.923
Bi 0.636 0.271 0.750
Bi 0.364 0.729 0.250
```

Results
Formation energy, eV per atom: -0.4787
Symmetry: Cmcm
Energy relative to the lowest polymorph listed for this composition, eV per formula unit: 1.04
Energy, eV per cell: -93.2



Density functional theory data (PBE) for a geometry-optimized ZrTi3O structure. Values from VASP.

```
&SYSTEM
  ibrav = 0, nat = 5, ntyp = 3
/
ATOMIC_SPECIES
O 16.00 O.upf
Zr 91.22 Zr.upf
Ti 47.87 Ti.upf
CELL_PARAMETERS angstrom
-3.672 -1.597 -1.431
0.165 -3.039 2.969
-2.138 2.509 2.686
ATOMIC_POSITIONS crystal
O 0.000 0.000 0.000
Zr 0.500 0.500 0.500
Ti 0.000 0.500 0.000
Ti 0.000 0.000 0.500
Ti 0.500 0.000 0.000
```

Results
Formation energy from raw total energies, meV/atom: -1053
Symmetry: Pm-3m
Energy relative to the lowest polymorph listed for this composition, eV per formula unit: 0.00
Energy, eV per cell: -42.5



Density functional theory data (PBE) for a geometry-optimized Cs3CuAg2Br6 structure. Values from VASP.

```
&SYSTEM
  ibrav = 0, nat = 12, ntyp = 4
/
ATOMIC_SPECIES
Cs 132.91 Cs.upf
Cu 63.55 Cu.upf
Ag 107.87 Ag.upf
Br 79.90 Br.upf
CELL_PARAMETERS angstrom
8.164 0.000 0.000
-4.082 7.070 0.000
0.000 0.000 9.197
ATOMIC_POSITIONS crystal
Cs 0.333 0.667 0.652
Cs 0.667 0.333 0.348
Cs 0.000 0.000 0.000
Cu 0.000 0.000 0.500
Ag 0.667 0.333 0.733
Ag 0.333 0.667 0.267
Br 0.697 0.849 0.315
Br 0.151 0.303 0.315
Br 0.151 0.849 0.315
Br 0.849 0.697 0.685
Br 0.303 0.151 0.685
Br 0.849 0.151 0.685
```

Results
Formation energy from raw total energies, meV/atom: -946
Symmetry: P-3m1
Energy, eV per cell: -33.8